Material: Na3HoSb2Se6
Method: DFT, PBE
State: optimized geometry

```
Na3HoSb2Se6
1.0
-4.022 5.225 -2.910
-2.831 -4.384 4.971
4.347 4.130 4.378
Na Ho Sb Se
3 1 2 6
direct
0.172 0.828 0.500
0.828 0.172 0.500
0.500 0.500 0.500
0.000 0.000 0.000
0.334 0.666 0.000
0.666 0.334 0.000
0.924 0.593 0.771
0.746 0.746 0.231
0.076 0.407 0.229
0.593 0.924 0.771
0.254 0.254 0.769
0.407 0.076 0.229
```

Values from the calculation:
Size of the total moment   0.00 μB per formula unit
ΔE_f (raw)   -1152 kJ/mol of formula units

---

Material: Na3Ho3SbSe8
Method: DFT, PBE
State: optimized geometry

```
Na3Ho3SbSe8
1.0
-0.617 -7.624 2.961
0.283 1.241 -8.104
7.067 1.210 4.589
Na Ho Sb Se
3 3 1 8
direct
0.000 0.000 0.000
0.000 0.500 0.000
0.500 0.500 0.000
0.500 0.000 0.500
0.500 0.500 0.500
0.000 0.500 0.500
0.000 0.000 0.500
0.257 0.515 0.272
0.743 0.485 0.728
0.762 0.524 0.276
0.238 0.476 0.724
0.762 0.014 0.276
0.238 0.986 0.724
0.252 0.014 0.276
0.748 0.986 0.724
```

Values from the calculation:
Size of the total moment   0.00 μB per formula unit
ΔE_f (raw)   -2003 kJ/mol of formula units

---

Material: Na2HoSbSe4
Method: DFT, PBE
State: optimized geometry

```
Na2HoSbSe4
1.0
-0.579 2.619 -3.156
-5.990 -3.575 -1.868
-1.811 5.361 4.782
Na Ho Sb Se
2 1 1 4
direct
0.500 0.000 0.500
0.000 0.500 0.500
0.500 0.500 0.000
0.000 0.000 0.000
0.500 0.247 0.231
0.500 0.753 0.769
0.000 0.259 0.772
0.000 0.741 0.228
```

Values from the calculation:
Size of the total moment   0.00 μB per formula unit
ΔE_f (raw)   -905 kJ/mol of formula units

---

Material: Na3Ho2SbTe6
Method: DFT, PBE
State: optimized geometry

```
Na3Ho2SbTe6
1.0
7.680 -0.002 0.001
-3.840 6.651 0.001
-1.280 -2.216 7.548
Na Ho Sb Te
3 2 1 6
direct
0.163 0.837 0.500
0.837 0.163 0.500
0.500 0.500 0.500
0.333 0.667 0.000
0.667 0.333 0.000
0.000 0.000 0.000
0.923 0.590 0.770
0.743 0.743 0.228
0.077 0.410 0.230
0.590 0.923 0.770
0.257 0.257 0.772
0.410 0.077 0.230
```

Values from the calculation:
Size of the total moment   0.00 μB per formula unit
ΔE_f (raw)   -1183 kJ/mol of formula units

---

Material: Na4Ho3SbTe8
Method: DFT, PBE
State: optimized geometry

```
Na4Ho3SbTe8
1.0
8.852 0.000 0.000
0.000 9.126 0.183
-4.426 -4.422 6.262
Na Ho Sb Te
4 3 1 8
direct
0.500 0.000 0.000
0.500 0.000 0.500
0.000 0.000 0.000
0.000 0.000 0.500
0.500 0.500 0.000
0.500 0.500 0.500
0.000 0.500 0.500
0.000 0.500 0.000
0.243 0.730 0.987
0.243 0.730 0.487
0.256 0.269 0.513
0.743 0.730 0.987
0.257 0.270 0.013
0.744 0.731 0.487
0.757 0.270 0.513
0.757 0.270 0.013
```

Values from the calculation:
Size of the total moment   0.00 μB per formula unit
ΔE_f (raw)   -1688 kJ/mol of formula units

---

Material: Na3HoSb2Te6
Method: DFT, PBE
State: optimized geometry

```
Na3HoSb2Te6
1.0
7.693 -0.004 0.001
-3.848 6.662 0.001
-1.282 -2.220 7.563
Na Ho Sb Te
3 1 2 6
direct
0.172 0.828 0.500
0.828 0.172 0.500
0.500 0.500 0.500
0.000 0.000 0.000
0.334 0.666 0.000
0.666 0.334 0.000
0.924 0.591 0.771
0.744 0.744 0.231
0.076 0.409 0.229
0.591 0.924 0.771
0.256 0.256 0.769
0.409 0.076 0.229
```

Values from the calculation:
Size of the total moment   0.00 μB per formula unit
ΔE_f (raw)   -854 kJ/mol of formula units

---

Material: NaHoSc2
Method: DFT, PBE
State: optimized geometry

```
NaHoSc2
1.0
3.320 0.000 0.000
1.660 2.876 0.000
1.660 0.959 12.108
Sc Na Ho
2 1 1
direct
0.092 0.092 0.724
0.908 0.908 0.276
0.000 0.000 0.000
0.500 0.500 0.500
```

Values from the calculation:
Size of the total moment   0.00 μB per formula unit
Energy of formation   0.237 eV/atom

---

Material: NaHo2Sc
Method: DFT, PBE
State: optimized geometry

```
NaHo2Sc
1.0
3.442 0.000 0.000
0.000 3.442 0.000
0.000 0.000 10.273
Sc Na Ho
1 1 2
direct
0.500 0.500 0.000
0.500 0.500 0.500
0.000 0.000 0.779
0.000 0.000 0.221
```

Values from the calculation:
Distance to the lowest polymorph of the same formula   0.00 eV/f.u.
Size of the total moment   0.00 μB per formula unit
Energy of formation   0.146 eV/atom

---

Material: NaHo2Sc
Method: DFT, PBE
State: optimized geometry

```
NaHo2Sc
1.0
3.407 0.000 0.000
1.704 2.951 0.000
1.704 0.984 12.299
Sc Na Ho
1 1 2
direct
0.500 0.500 0.500
0.000 0.000 0.000
0.095 0.095 0.716
0.905 0.905 0.284
```

Values from the calculation:
Distance to the lowest polymorph of the same formula   0.07 eV/f.u.
Size of the total moment   0.00 μB per formula unit
Energy of formation   0.163 eV/atom

---

Material: Na4Ho3ScSe8
Method: DFT, PBE
State: optimized geometry

```
Na4Ho3ScSe8
1.0
8.168 0.000 0.000
0.000 8.437 0.178
-4.084 -4.081 5.779
Na Ho Sc Se
4 3 1 8
direct
0.500 0.000 0.000
0.500 0.000 0.500
0.000 0.000 0.000
0.000 0.000 0.500
0.500 0.500 0.000
0.500 0.500 0.500
0.000 0.500 0.500
0.000 0.500 0.000
0.237 0.724 0.988
0.237 0.724 0.474
0.257 0.270 0.513
0.751 0.724 0.988
0.249 0.276 0.012
0.743 0.730 0.487
0.763 0.276 0.526
0.763 0.276 0.012
```

Values from the calculation:
Size of the total moment   0.00 μB per formula unit
ΔE_f (raw)   -2580 kJ/mol of formula units

---

Material: NaHoSc4Se8
Method: DFT, PBE
State: optimized geometry

```
NaHoSc4Se8
1.0
8.057 0.000 0.000
4.029 6.978 0.000
4.029 2.326 6.740
Na Ho Sc Se
1 1 4 8
direct
0.371 0.371 0.888
0.004 0.004 0.988
0.627 0.627 0.119
0.005 0.483 0.507
0.483 0.005 0.507
0.005 0.005 0.507
0.247 0.781 0.726
0.781 0.247 0.726
0.247 0.247 0.726
0.237 0.237 0.289
0.751 0.233 0.265
0.233 0.751 0.265
0.751 0.751 0.265
0.758 0.758 0.726
```

Values from the calculation:
Size of the total moment   0.00 μB per formula unit
ΔE_f (raw)   -2196 kJ/mol of formula units

---

Material: Na3HoSc2Se6
Method: DFT, PBE
State: optimized geometry

```
Na3HoSc2Se6
1.0
-2.780 5.379 -3.388
-3.678 -5.816 0.891
-0.337 2.645 6.848
Na Ho Sc Se
3 1 2 6
direct
0.165 0.835 0.500
0.835 0.165 0.500
0.500 0.500 0.500
0.000 0.000 0.000
0.333 0.667 0.000
0.667 0.333 0.000
0.926 0.582 0.778
0.730 0.730 0.222
0.074 0.418 0.222
0.582 0.926 0.778
0.270 0.270 0.778
0.418 0.074 0.222
```

Values from the calculation:
Size of the total moment   0.00 μB per formula unit
ΔE_f (raw)   -1878 kJ/mol of formula units